[1]
Here is crystalline NaCoOs at its relaxed geometry from Alexandria via LeMat-Bulk. Energies are from GGA-PBE.

Lattice parameters (Å, degrees): 3.8485 3.8485 9.6238 90.00 90.00 120.00
Space group P6_3/mmc (No. 194)
Symmetry-distinct sites (fractional):
Na (0.0000, 0.0000, 0.0000) [2 per cell]
Co (0.3333, 0.6667, 0.2500) [2 per cell]
Os (0.3333, 0.6667, 0.7500) [2 per cell]

Calculated volume (Å³/f.u.): 61.7
Density of states at the Fermi level (states/eV per atom): 0.828
ΔE to the lowest computed polymorph (kJ per mole of atoms): 58.5

---

[2]
Here is crystalline Cs2LiAgCl4 at its relaxed geometry from Alexandria via LeMat-Bulk. Energies are from GGA-PBE.

Lattice parameters (Å, degrees): 14.691 11.428 10.343 90.00 134.68 90.00
Space group C2/c (No. 15)
Symmetry-distinct sites (fractional):
Cs (0.000, 0.000, 0.000) [4 per cell]
Cs (0.250, 0.250, 0.000) [4 per cell]
Li (0.250, 0.250, 0.500) [4 per cell]
Ag (0.000, 0.500, 0.000) [4 per cell]
Cl (0.000, 0.294, 0.527) [8 per cell]
Cl (0.217, 0.055, 0.466) [8 per cell]

Formation energy without anion corrections (eV/atom): -1.48
Calculated volume (Å³/f.u.): 308.7
Density of states at the Fermi level (states/eV per atom): 0.000

---

[3]
Here is crystalline NaPmP2Pd5 at its relaxed geometry from Alexandria via LeMat-Bulk. Energies are from GGA-PBE.

Lattice parameters (Å, degrees): 4.194 4.194 8.787 90.00 90.00 90.00
Space group P4/mmm (No. 123)
Symmetry-distinct sites (fractional):
Na (0.000, 0.000, 0.000) [1 per cell]
Pm (0.000, 0.000, 0.500) [1 per cell]
P (0.500, 0.500, 0.123) [2 per cell]
Pd (0.000, 0.500, 0.258) [4 per cell]
Pd (0.500, 0.500, 0.500) [1 per cell]

Calculated volume (Å³/f.u.): 154.5
Energy (hartree per atom): -0.20072
Density of states at the Fermi level (states/eV per atom): 0.328

---

[4]
Here is crystalline Nd8SiBi2 at its relaxed geometry from Alexandria via LeMat-Bulk. Energies are from GGA-PBE.

Lattice parameters (Å, degrees): 20.077 5.262 6.866 90.00 104.06 90.00
Space group C2/m (No. 12)
Symmetry-distinct sites (fractional):
Nd (0.015, 0.000, 0.280) [4 per cell]
Nd (0.088, 0.500, 0.972) [4 per cell]
Nd (0.150, 0.500, 0.525) [4 per cell]
Nd (0.222, 0.000, 0.831) [4 per cell]
Si (0.000, 0.500, 0.500) [2 per cell]
Bi (0.178, 0.000, 0.267) [4 per cell]

Formation energy without anion corrections (eV/atom): -0.38
Calculated volume (Å³/f.u.): 351.9
Density of states at the Fermi level (states/eV per atom): 1.271

---

[5]
Here is crystalline Pu2MgP2 at its relaxed geometry from Alexandria via LeMat-Bulk. Energies are from GGA-PBE.

Lattice parameters (Å, degrees): 7.425 7.425 3.739 90.00 90.00 90.00
Space group P4/mbm (No. 127)
Symmetry-distinct sites (fractional):
Pu (0.140, 0.360, 0.000) [4 per cell]
Mg (0.000, 0.000, 0.500) [2 per cell]
P (0.165, 0.665, 0.500) [4 per cell]

Calculated volume (Å³/f.u.): 103.1
Energy (hartree per atom): -0.33504
Density of states at the Fermi level (states/eV per atom): 2.809

---

[6]
Here is crystalline Er2TmTl2 at its relaxed geometry from Alexandria via LeMat-Bulk. Energies are from GGA-PBE.

Lattice parameters (Å, degrees): 3.728 5.333 13.983 90.00 97.69 90.00
Space group P2_1/m (No. 11)
Symmetry-distinct sites (fractional):
Er (0.049, 0.250, 0.098) [2 per cell]
Er (0.238, 0.250, 0.476) [2 per cell]
Tm (0.150, 0.750, 0.302) [2 per cell]
Tl (0.356, 0.750, 0.711) [2 per cell]
Tl (0.450, 0.250, 0.900) [2 per cell]

Calculated volume (Å³/f.u.): 137.7
Density of states at the Fermi level (states/eV per atom): 0.908
ΔE to the lowest computed polymorph (kJ per mole of atoms): 0.6

---

[7]
Here is crystalline Ac2PmSb4Pd3 at its relaxed geometry from Alexandria via LeMat-Bulk. Energies are from GGA-PBE.

Lattice parameters (Å, degrees): 4.741 4.741 11.878 90.00 90.00 90.00
Space group P-4m2 (No. 115)
Symmetry-distinct sites (fractional):
Ac (0.000, 0.500, 0.222) [2 per cell]
Pm (0.000, 0.000, 0.500) [1 per cell]
Sb (0.000, 0.000, 0.000) [1 per cell]
Sb (0.000, 0.500, 0.658) [2 per cell]
Sb (0.500, 0.500, 0.000) [1 per cell]
Pd (0.000, 0.500, 0.884) [2 per cell]
Pd (0.500, 0.500, 0.500) [1 per cell]

Formation energy without anion corrections (eV/atom): -0.88
Calculated volume (Å³/f.u.): 267.0
Density of states at the Fermi level (states/eV per atom): 0.414

---

[8]
Here is crystalline ZnGeP2O at its relaxed geometry from Alexandria via LeMat-Bulk. Energies are from GGA-PBE.

Lattice parameters (Å, degrees): 4.822 4.822 3.645 90.00 90.00 90.00
Space group P4/mmm (No. 123)
Symmetry-distinct sites (fractional):
Zn (0.000, 0.000, 0.000) [1 per cell]
Ge (0.500, 0.500, 0.500) [1 per cell]
P (0.000, 0.500, 0.000) [2 per cell]
O (0.000, 0.000, 0.500) [1 per cell]

Formation energy without anion corrections (eV/atom): 0.54
Calculated volume (Å³/f.u.): 84.8
Density of states at the Fermi level (states/eV per atom): 1.075
ΔE to the lowest computed polymorph (kJ per mole of atoms): 20.9

---

[9]
Here is crystalline PaH6PdPt at its relaxed geometry from Alexandria via LeMat-Bulk. Energies are from GGA-PBE.

Lattice parameters (Å, degrees): 4.7244 4.7244 4.2260 90.00 90.00 120.00
Space group P-6m2 (No. 187)
Symmetry-distinct sites (fractional):
Pa (0.0000, 0.0000, 0.0000) [1 per cell]
H (0.5034, 0.0068, 0.2136) [6 per cell]
Pd (0.3333, 0.6667, 0.5000) [1 per cell]
Pt (0.6667, 0.3333, 0.5000) [1 per cell]

Calculated volume (Å³/f.u.): 81.7
Energy (hartree per atom): -0.17269
Density of states at the Fermi level (states/eV per atom): 0.463

---

[10]
Here is crystalline Ac2Pt3Au6 at its relaxed geometry from Alexandria via LeMat-Bulk. Energies are from GGA-PBE.

Lattice parameters (Å, degrees): 8.0853 8.0853 4.3460 90.00 90.00 120.00
Space group P-62m (No. 189)
Symmetry-distinct sites (fractional):
Ac (0.3333, 0.6667, 0.0000) [2 per cell]
Pt (0.0000, 0.4122, 0.5000) [3 per cell]
Au (0.0000, 0.2029, 0.0000) [3 per cell]
Au (0.0000, 0.7413, 0.5000) [3 per cell]

Calculated volume (Å³/f.u.): 246.0
Energy (hartree per atom): -0.17392
Density of states at the Fermi level (states/eV per atom): 0.288

---

[11]
Here is crystalline Ge2Bi2Au at its relaxed geometry from Alexandria via LeMat-Bulk. Energies are from GGA-PBE.

Lattice parameters (Å, degrees): 8.171 8.171 3.957 90.00 90.00 90.00
Space group P4/mbm (No. 127)
Symmetry-distinct sites (fractional):
Ge (0.113, 0.387, 0.000) [4 per cell]
Bi (0.182, 0.682, 0.500) [4 per cell]
Au (0.000, 0.000, 0.500) [2 per cell]

Calculated volume (Å³/f.u.): 132.1
Density of states at the Fermi level (states/eV per atom): 0.467
ΔE to the lowest computed polymorph (kJ per mole of atoms): 22.7

---

[12]
Here is crystalline ScIrRu2 at its relaxed geometry from Alexandria via LeMat-Bulk. Energies are from GGA-PBE.

Lattice parameters (Å, degrees): 2.8307 2.8307 26.7329 90.00 90.00 120.00
Space group R-3m (No. 166, hexagonal axes)
Symmetry-distinct sites (fractional):
Sc (0.0000, 0.0000, 0.0000) [3 per cell]
Ir (0.0000, 0.0000, 0.5000) [3 per cell]
Ru (0.0000, 0.0000, 0.2478) [6 per cell]

Calculated volume (Å³/f.u.): 61.8
Density of states at the Fermi level (states/eV per atom): 1.533
ΔE to the lowest computed polymorph (kJ per mole of atoms): 36.2